This record from the Alexandria database describes an optimized crystal structure of BeCr2PtO. The functional is PBE with a Hubbard U.

The electronic total energy is -25.81 eV/cell.

It has space group P4/mmm (No. 123), with a = 5.231 Å, b = 5.231 Å, c = 3.742 Å, α = 90.00°, β = 90.00° and γ = 90.00°. The asymmetric unit holds Be at (0.000, 0.000, 0.000), Cr at (0.000, 0.500, 0.500), Pt at (0.500, 0.500, 0.500) and O at (0.500, 0.500, 0.000).